{"formula": "Cr2FeSi", "functional": "PBE-GGA", "state": "relaxed", "lattice_angstrom": [[4.729, 0.000, 0.000], [0.000, 7.867, 0.000], [-0.619, 0.000, 2.437]], "species": ["Cr", "Cr", "Cr", "Cr", "Fe", "Fe", "Si", "Si"], "fractional_positions": [[0.250, 0.250, 0.000], [0.250, 0.750, 0.000], [0.750, 0.250, 0.000], [0.750, 0.750, 0.000], [0.000, 0.000, 0.500], [0.500, 0.500, 0.500], [0.000, 0.500, 0.500], [0.500, 0.000, 0.500]], "space_group": "C2/m (12)", "rho_g_cm3": 6.883, "raw_formation_energy_mev_per_atom": -90, "n_ef_per_ev_atom": 0.9115, "magmom_total_mub_per_cell": 1.92}